1.
Computed, not measured: crystalline OsWSe2 at its relaxed geometry at the PBE level of DFT.

excess energy over the best structure of this formula in the dataset	427	meV/atom
magnetization	0.00	μB/cell
energy relative to the elements, uncorrected	2.13	eV/f.u.

a b c (Å): 2.874 2.874 10.116
angles (deg): 90.00 90.00 115.44
Element x y z (fractional)
Os: 0.500 0.500 0.727
W: 0.000 0.000 0.520
Se: 0.000 0.000 0.946
Se: 0.500 0.500 0.306



2.
Computed, not measured: crystalline OsW2Se at its relaxed geometry at the PBE level of DFT.

magnetization	0.00	μB/cell
energy relative to the elements, uncorrected	2.75	eV/f.u.

a b c (Å): 2.804 2.804 9.115
angles (deg): 90.00 90.00 114.82
Element x y z (fractional)
W: 0.000 0.000 0.009
W: 0.000 0.000 0.491
Os: 0.500 0.500 0.250
Se: 0.500 0.500 0.750